## Dy5Co2Ir (GGA-PBE)

Data for a relaxed Dy5Co2Ir crystal.

Summary:
* V: 22.41 Å³/atom
* total magnetic moment: 0.00 μB per formula unit
* electronic total energy: -6.17 eV/atom

abc: 8.7116 8.7116 8.7116
angles: 131.93 131.93 70.34
Closest atoms and distances in Å follow each position.
Fractional coordinates of all 16 atoms:
1 Dy 0.0000 0.0000 0.0000  4 Co 2.86
2 Dy 0.0359 0.5359 0.8562  3 Co 2.92-2.93, 2 Ir 3.03
3 Dy 0.1797 0.0359 0.5000  3 Co 2.92-2.93, 2 Ir 3.03
4 Dy 0.3203 0.8203 0.8562  3 Co 2.92-2.93, 2 Ir 3.03
5 Dy 0.4641 0.3203 0.5000  3 Co 2.92-2.93, 2 Ir 3.03
6 Dy 0.5000 0.5000 0.0000  4 Co 2.86
7 Dy 0.5359 0.6797 0.5000  3 Co 2.92-2.93, 2 Ir 3.03
8 Dy 0.6797 0.1797 0.1438  3 Co 2.92-2.93, 2 Ir 3.03
9 Dy 0.8203 0.9641 0.5000  3 Co 2.92-2.93, 2 Ir 3.03
10 Dy 0.9641 0.4641 0.1438  3 Co 2.92-2.93, 2 Ir 3.03
11 Co 0.1122 0.3878 0.5000  1 Co 2.25
12 Co 0.3878 0.8878 0.2756  1 Co 2.25
13 Co 0.6122 0.1122 0.7244  1 Co 2.25
14 Co 0.8878 0.6122 0.5000  1 Co 2.25
15 Ir 0.2500 0.2500 0.0000  8 Dy 3.03
16 Ir 0.7500 0.7500 0.0000  8 Dy 3.03

## Ba2IrBr (GGA-PBE)

Data for a relaxed Ba2IrBr crystal.

Summary:
* V: 30.48 Å³/atom
* total magnetic moment: 0.00 μB per formula unit
* raw formation energy: -260 kJ/mol of formula units
* energy above the lowest structure with this stoichiometry: 0.184 eV per atom

abc: 7.8715 7.8715 7.8715
angles: 90.00 90.00 90.00
Closest atoms and distances in Å follow each position.
Fractional coordinates of all 16 atoms:
1 Ba 0.2500 0.2500 0.2500  4 Br 3.41, 4 Ir 3.41
2 Ba 0.2500 0.2500 0.7500  4 Ir 3.41, 4 Br 3.41
3 Ba 0.2500 0.7500 0.2500  4 Ir 3.41, 4 Br 3.41
4 Ba 0.2500 0.7500 0.7500  4 Br 3.41, 4 Ir 3.41
5 Ba 0.7500 0.2500 0.2500  4 Ir 3.41, 4 Br 3.41
6 Ba 0.7500 0.2500 0.7500  4 Br 3.41, 4 Ir 3.41
7 Ba 0.7500 0.7500 0.2500  4 Br 3.41, 4 Ir 3.41
8 Ba 0.7500 0.7500 0.7500  4 Ir 3.41, 4 Br 3.41
9 Ir 0.0000 0.0000 0.0000  8 Ba 3.41
10 Ir 0.0000 0.5000 0.5000  8 Ba 3.41
11 Ir 0.5000 0.0000 0.5000  8 Ba 3.41
12 Ir 0.5000 0.5000 0.0000  8 Ba 3.41
13 Br 0.0000 0.0000 0.5000  8 Ba 3.41
14 Br 0.0000 0.5000 0.0000  8 Ba 3.41
15 Br 0.5000 0.0000 0.0000  8 Ba 3.41
16 Br 0.5000 0.5000 0.5000  8 Ba 3.41

## Nd3Ho3Tm (GGA-PBE)

Data for a relaxed Nd3Ho3Tm crystal.

Summary:
* V: 32.93 Å³/atom
* total magnetic moment: 0.00 μB per formula unit
* energy above the lowest structure with this stoichiometry: 0.000 eV per atom

abc: 9.6180 9.6180 5.7540
angles: 90.00 90.00 120.00
Closest atoms and distances in Å follow each position.
Fractional coordinates of all 14 atoms:
1 Nd 0.0497 0.8058 0.2500  5 Ho 3.55-3.67, 6 Nd 3.59-3.72, 1 Tm 3.59
2 Nd 0.1942 0.2438 0.2500  5 Ho 3.55-3.67, 6 Nd 3.59-3.72, 1 Tm 3.59
3 Nd 0.2438 0.0497 0.7500  5 Ho 3.55-3.67, 6 Nd 3.59-3.72, 1 Tm 3.59
4 Nd 0.7562 0.9503 0.2500  5 Ho 3.55-3.67, 6 Nd 3.59-3.72, 1 Tm 3.59
5 Nd 0.8058 0.7562 0.7500  5 Ho 3.55-3.67, 6 Nd 3.59-3.72, 1 Tm 3.59
6 Nd 0.9503 0.1942 0.7500  5 Ho 3.55-3.67, 6 Nd 3.59-3.72, 1 Tm 3.59
7 Ho 0.0955 0.6161 0.7500  4 Ho 3.54-3.61, 5 Nd 3.55-3.67, 3 Tm 3.55-3.63
8 Ho 0.3839 0.4795 0.7500  4 Ho 3.54-3.61, 5 Nd 3.55-3.67, 3 Tm 3.55-3.63
9 Ho 0.4795 0.0955 0.2500  4 Ho 3.54-3.61, 5 Nd 3.55-3.67, 3 Tm 3.55-3.63
10 Ho 0.5205 0.9045 0.7500  4 Ho 3.54-3.61, 5 Nd 3.55-3.67, 3 Tm 3.55-3.63
11 Ho 0.6161 0.5205 0.2500  4 Ho 3.54-3.61, 5 Nd 3.55-3.67, 3 Tm 3.55-3.63
12 Ho 0.9045 0.3839 0.2500  4 Ho 3.54-3.61, 5 Nd 3.55-3.67, 3 Tm 3.55-3.63
13 Tm 0.3333 0.6667 0.2500  9 Ho 3.55-3.63, 3 Nd 3.59
14 Tm 0.6667 0.3333 0.7500  9 Ho 3.55-3.63, 3 Nd 3.59